A geometry-optimized Ce2Nd3SmAs6 structure. Source: Alexandria, functional GGA-PBE.

Unit cell a=7.347 b=12.724 c=7.350 alpha=90.00 beta=109.46 gamma=90.00
Space group C2/m (No. 12)
Asymmetric unit:
Ce: 0.000 0.167 0.000 x4
Nd: 0.000 0.000 0.500 x2
Nd: 0.000 0.334 0.500 x4
Sm: 0.000 0.500 0.000 x2
As: 0.246 0.000 0.245 x4
As: 0.249 0.332 0.244 x8

Computed properties:
- VASP energy: -6.39 eV/atom
- E_form: -1.494 eV/atom

=====

A geometry-optimized SrPbAu6 structure. Source: Alexandria, functional GGA-PBE.

Unit cell a=5.607 b=5.607 c=5.607 alpha=90.00 beta=90.00 gamma=90.00
Space group Pm-3 (No. 200)
Asymmetric unit:
Sr: 0.000 0.000 0.000 x1
Pb: 0.500 0.500 0.500 x1
Au: 0.000 0.251 0.500 x6

Computed properties:
- VASP energy: -3.33 eV/atom
- E_form: -0.194 eV/atom

=====

A geometry-optimized LaPu2VN4 structure. Source: Alexandria, functional GGA-PBE.

Unit cell a=3.423 b=11.850 c=11.856 alpha=90.00 beta=90.00 gamma=90.00
Space group Cmcm (No. 63)
Asymmetric unit:
La: 0.000 0.089 0.250 x4
Pu: 0.000 0.369 0.043 x8
V: 0.000 0.171 0.750 x4
N: 0.000 0.000 0.000 x4
N: 0.000 0.262 0.624 x8
N: 0.000 0.422 0.250 x4

Computed properties:
- VASP energy: -10.69 eV/atom
- E_form (uncorrected): -1.19 eV/atom

=====

A geometry-optimized LiDyHoTe3 structure. Source: Alexandria, functional GGA-PBE.

Unit cell a=8.859 b=4.200 c=9.448 alpha=90.00 beta=103.94 gamma=90.00
Space group P2_1/m (No. 11)
Asymmetric unit:
Li: 0.085 0.250 0.085 x2
Dy: 0.186 0.250 0.732 x2
Ho: 0.334 0.750 0.337 x2
Te: 0.089 0.250 0.377 x2
Te: 0.236 0.750 0.996 x2
Te: 0.422 0.750 0.673 x2

Computed properties:
- VASP energy: -4.64 eV/atom
- E_form (uncorrected): -1.22 eV/atom

=====

A geometry-optimized HRhO2 structure. Source: Alexandria, functional GGA-PBE.

Unit cell a=3.1579 b=3.1579 c=4.5363 alpha=90.00 beta=90.00 gamma=120.00
Space group P3m1 (No. 156)
Asymmetric unit:
H: 0.0000 0.0000 0.0000 x1
Rh: 0.6667 0.3333 0.4391 x1
O: 0.0000 0.0000 0.2166 x1
O: 0.3333 0.6667 0.6537 x1

Computed properties:
- VASP energy: -5.90 eV/atom

=====

A geometry-optimized RbSn2Ir structure. Source: Alexandria, functional GGA-PBE.

Unit cell a=4.4460 b=4.4460 c=21.4579 alpha=90.00 beta=90.00 gamma=120.00
Space group R-3m (No. 166, hexagonal axes)
Asymmetric unit:
Rb: 0.0000 0.0000 0.0000 x3
Sn: 0.0000 0.0000 0.2098 x6
Ir: 0.0000 0.0000 0.5000 x3

Computed properties:
- VASP energy: -4.61 eV/atom
- E_form: -0.151 eV/atom

=====

Values for M_tot, Bohr magnetons per cell, ordered as above
2.29, 0.00, 41.99, 0.00, 0.00, 0.02